1.
Here is a relaxed structure of RbHO from the Alexandria database. Energies are from GGA-PBE.

Cell: 4.2074 4.2074 4.4349 Å, 118.32 118.32 90.00°
With the nearest neighbours (Å) after each atom.
Element x y z (fractional)
H 0.5200 0.5200 0.0401  1 O 0.97
O 0.3722 0.3722 0.7444  1 H 0.97
Rb 0.9578 0.9578 0.9155  5 O 2.73-3.03, 5 H 2.88-3.00

Summary:
energy: -4.355 eV/atom


2.
Here is a relaxed structure of NpUMnCo from the Alexandria database. Energies are from GGA-PBE.

Cell: 4.4114 4.4114 4.4114 Å, 60.00 60.00 60.00°
With the nearest neighbours (Å) after each atom.
Element x y z (fractional)
Mn 0.0000 0.0000 0.0000  4 Co 2.70, 4 Np 2.70
Co 0.7500 0.7500 0.7500  4 Mn 2.70, 4 U 2.70
U 0.5000 0.5000 0.5000  4 Np 2.70, 4 Co 2.70
Np 0.2500 0.2500 0.2500  4 Mn 2.70, 4 U 2.70

Summary:
energy: -10.244 eV/atom


3.
Here is a relaxed structure of Al2RhSe from the Alexandria database. Energies are from GGA-PBE.

Cell: 7.8961 7.8961 7.8961 Å, 23.31 23.31 23.31°
With the nearest neighbours (Å) after each atom.
Element x y z (fractional)
Al 0.2437 0.2437 0.2437  3 Rh 2.52
Al 0.0044 0.0044 0.0044  3 Se 2.58, 3 Al 2.84
Rh 0.5025 0.5025 0.5025  3 Al 2.52, 3 Se 2.71
Se 0.7495 0.7495 0.7495  3 Al 2.58, 3 Rh 2.71

Summary:
energy: -4.777 eV/atom


4.
Here is a relaxed structure of Sc2CoPb from the Alexandria database. Energies are from GGA-PBE.

Cell: 3.2405 3.2287 8.3173 Å, 67.22 90.00 90.00°
With the nearest neighbours (Å) after each atom.
Element x y z (fractional)
Pb 0.5000 0.7500 0.7500  4 Pb 3.23-3.24, 8 Sc 3.26
Sc 0.0000 0.9470 0.0530  4 Co 2.74, 1 Sc 3.02
Sc 0.0000 0.5530 0.4470  4 Co 2.74, 1 Sc 3.02
Co 0.5000 0.2500 0.2500  8 Sc 2.74

Summary:
energy: -6.203 eV/atom


5.
Here is a relaxed structure of BeAg2Pd2 from the Alexandria database. Energies are from GGA-PBE.

Cell: 2.8481 2.8481 9.2914 Å, 98.82 98.82 90.00°
With the nearest neighbours (Å) after each atom.
Element x y z (fractional)
Pd 0.4239 0.4239 0.8478  4 Be 2.44
Pd 0.5761 0.5761 0.1522  4 Be 2.44
Ag 0.1911 0.1911 0.3823  8 Ag 2.85-2.94, 4 Pd 2.90
Ag 0.8089 0.8089 0.6177  8 Ag 2.85-2.94, 4 Pd 2.90
Be 0.0000 0.0000 0.0000  8 Pd 2.44

Summary:
ΔE to the lowest computed polymorph: 0.0000 eV per atom


6.
Here is a relaxed structure of AgMoIr2 from the Alexandria database. Energies are from GGA-PBE.

Cell: 3.8002 4.0302 4.0302 Å, 90.00 90.00 90.00°
With the nearest neighbours (Å) after each atom.
Element x y z (fractional)
Ir 0.0000 0.5000 0.5000  4 Mo 2.77, 4 Ag 2.77, 4 Ir 2.85
Ir 0.0000 0.0000 0.0000  4 Mo 2.77, 4 Ag 2.77, 4 Ir 2.85
Ag 0.5000 0.0000 0.5000  8 Ir 2.77, 4 Mo 2.85
Mo 0.5000 0.5000 0.0000  8 Ir 2.77, 4 Ag 2.85

Summary:
ΔE to the lowest computed polymorph: 0.2962 eV per atom


7.
Here is a relaxed structure of AcYIr from the Alexandria database. Energies are from GGA-PBE.

Cell: 7.2546 6.7217 8.1014 Å, 93.85 90.00 90.00°
With the nearest neighbours (Å) after each atom.
Element x y z (fractional)
Ir 0.7396 0.4927 0.3561  3 Y 2.80-2.83, 3 Ac 2.98
Ir 0.2604 0.5073 0.6439  3 Y 2.80-2.83, 3 Ac 2.98
Ir 0.7604 0.9927 0.8561  3 Y 2.80-2.83, 3 Ac 2.98
Ir 0.2396 0.0073 0.1439  3 Y 2.80-2.83, 3 Ac 2.98
Y 0.9207 0.2368 0.1156  3 Ir 2.80-2.83
Y 0.4207 0.2632 0.3844  3 Ir 2.80-2.83
Y 0.5793 0.7368 0.6156  3 Ir 2.80-2.83
Y 0.0793 0.7632 0.8844  3 Ir 2.80-2.83
Ac 0.0827 0.7370 0.3850  3 Ir 2.98
Ac 0.4173 0.2370 0.8850  3 Ir 2.98
Ac 0.9173 0.2630 0.6150  3 Ir 2.98
Ac 0.5827 0.7630 0.1150  3 Ir 2.98

Summary:
ΔE to the lowest computed polymorph: 0.0000 eV per atom


8.
Here is a relaxed structure of Y3BeC2 from the Alexandria database. Energies are from GGA-PBE.

Cell: 6.6243 6.6243 6.6243 Å, 98.33 113.01 117.66°
With the nearest neighbours (Å) after each atom.
Element x y z (fractional)
C 0.0000 0.5000 0.0000  2 Be 2.19, 2 Y 2.30
C 0.6880 0.7500 0.4380  1 Be 1.83
C 0.5000 0.0000 0.0000  2 Be 2.19, 2 Y 2.30
C 0.3120 0.2500 0.5620  1 Be 1.83
Y 0.0395 0.7500 0.7895  3 C 2.30-2.57
Y 0.0000 0.2035 0.7035  3 C 2.50-2.57
Y 0.5000 0.7035 0.7035  3 C 2.50-2.57
Y 0.0000 0.7965 0.2965  3 C 2.50-2.57
Y 0.9605 0.2500 0.2105  3 C 2.30-2.57
Y 0.5000 0.2965 0.2965  3 C 2.50-2.57
Be 0.4374 0.7500 0.1874  1 C 1.83
Be 0.5626 0.2500 0.8126  1 C 1.83

Summary:
energy: -6.861 eV/atom


9.
Here is a relaxed structure of La2VSiAu from the Alexandria database. Energies are from GGA-PBE.

Cell: 5.7191 4.5807 5.7191 Å, 90.00 90.00 90.00°
With the nearest neighbours (Å) after each atom.
Element x y z (fractional)
V 0.0000 0.5000 0.0000  2 Si 2.29
La 0.0000 0.0000 0.5000  2 Si 2.86
La 0.5000 0.0000 0.0000  2 Si 2.86
Au 0.5000 0.5000 0.5000  8 La 3.66, 4 V 4.04
Si 0.0000 0.0000 0.0000  2 V 2.29

Summary:
energy: -5.486 eV/atom


10.
Here is a relaxed structure of K2TiPO6 from the Alexandria database. Energies are from GGA-PBE.

Cell: 4.9337 6.0518 6.0518 Å, 120.00 90.00 90.00°
With the nearest neighbours (Å) after each atom.
Element x y z (fractional)
O 0.7885 0.1315 0.8685  1 P 1.73
O 0.7885 0.1315 0.2629  1 P 1.73
O 0.2115 0.8685 0.1315  1 P 1.73
O 0.2115 0.2629 0.1315  1 P 1.73
O 0.2115 0.8685 0.7371  1 P 1.73
O 0.7885 0.7371 0.8685  1 P 1.73
Ti 0.5000 0.0000 0.0000  6 O 1.98
K 0.8372 0.6667 0.3333  9 O 2.81-3.06
K 0.1628 0.3333 0.6667  9 O 2.81-3.06
P 0.0000 0.0000 0.0000  6 O 1.73

Summary:
energy: -6.544 eV/atom


11.
Here is a relaxed structure of HgNCl2 from the Alexandria database. Energies are from GGA-PBE.

Cell: 7.9526 7.9526 7.9526 Å, 29.97 29.97 29.97°
With the nearest neighbours (Å) after each atom.
Element x y z (fractional)
Cl 0.9101 0.9101 0.9101  1 N 2.05
Cl 0.0899 0.0899 0.0899  1 N 2.05
N 0.0000 0.0000 0.0000  2 Cl 2.05
Hg 0.5000 0.5000 0.5000  6 Cl 2.95

Summary:
ΔE to the lowest computed polymorph: 0.2191 eV per atom


12.
Here is a relaxed structure of SrSnIr2Br from the Alexandria database. Energies are from GGA-PBE.

Cell: 5.0587 6.4524 5.0587 Å, 90.00 90.00 90.00°
With the nearest neighbours (Å) after each atom.
Element x y z (fractional)
Ir 0.5000 0.0000 0.0000  2 Sr 2.53
Ir 0.0000 0.0000 0.5000  2 Sr 2.53
Br 0.5000 0.5000 0.5000  4 Sn 3.58
Sr 0.0000 0.0000 0.0000  4 Ir 2.53
Sn 0.0000 0.5000 0.0000  2 Sr 3.23, 4 Br 3.58

Summary:
energy: -3.106 eV/atom